VASP calculation (GGA-PBE) on crystalline AcTb3Mg2 at its relaxed geometry.

The calculation puts the formation energy at -0.04 eV per atom. The space-group type is P4/mmm.

Unit cell a=3.805 b=3.805 c=12.845 alpha=90.00 beta=90.00 gamma=90.00
Fractional positions:
Ac (0.000, 0.000, 0.000)
Tb (0.500, 0.500, 0.206)
Tb (0.500, 0.500, 0.500)
Tb (0.500, 0.500, 0.794)
Mg (0.000, 0.000, 0.354)
Mg (0.000, 0.000, 0.646)